First-principles (PBE) data for a relaxed structure of HoZn6, as listed in Alexandria via LeMat-Bulk.

Unit cell a=8.303 b=5.353 c=10.500 alpha=90.00 beta=90.00 gamma=90.00
Element x y z (fractional)
Ho (0.238, 0.250, 0.058)
Ho (0.262, 0.750, 0.558)
Ho (0.738, 0.250, 0.442)
Ho (0.762, 0.750, 0.942)
Zn (0.065, 0.750, 0.091)
Zn (0.067, 0.015, 0.309)
Zn (0.067, 0.485, 0.309)
Zn (0.096, 0.250, 0.522)
Zn (0.135, 0.750, 0.853)
Zn (0.190, 0.250, 0.757)
Zn (0.310, 0.750, 0.257)
Zn (0.365, 0.250, 0.353)
Zn (0.404, 0.750, 0.022)
Zn (0.433, 0.515, 0.809)
Zn (0.433, 0.985, 0.809)
Zn (0.435, 0.250, 0.591)
Zn (0.565, 0.750, 0.409)
Zn (0.567, 0.015, 0.191)
Zn (0.567, 0.485, 0.191)
Zn (0.596, 0.250, 0.978)
Zn (0.635, 0.750, 0.647)
Zn (0.690, 0.250, 0.743)
Zn (0.810, 0.750, 0.243)
Zn (0.865, 0.250, 0.147)
Zn (0.904, 0.750, 0.478)
Zn (0.933, 0.515, 0.691)
Zn (0.933, 0.985, 0.691)
Zn (0.935, 0.250, 0.909)

Density of states at the Fermi level (states/eV per atom): 0.415
Energy above the most stable polymorph in this dataset (meV per atom): 0
ΔH_f (0 K) (meV/atom): -214
SG: No. 62
E_tot (hartree per atom): -0.07202